[1]
VASP calculation (PBE) on an optimized crystal structure of ZrUOsRu.

Values from the calculation:
crystal system: cubic
final energy: -10.323 eV per atom
formation energy from the elements: -0.24 eV per atom

a = 6.6753 Å, b = 6.6753 Å, c = 6.6753 Å
α = 90.00°, β = 90.00°, γ = 90.00°
Space group F-43m (No. 216)
Unique sites:
Zr 0.0000 0.0000 0.0000
U 0.0000 0.0000 0.5000
Os 0.2500 0.2500 0.2500
Ru 0.2500 0.2500 0.7500

=====

[2]
VASP calculation (PBE) on an optimized crystal structure of V5Os2Ru.

Values from the calculation:
crystal system: tetragonal
final energy: -9.979 eV per atom
formation energy from the elements: -0.31 eV per atom

a = 4.2435 Å, b = 4.2435 Å, c = 12.0679 Å
α = 90.00°, β = 90.00°, γ = 90.00°
Space group I4/mmm (No. 139)
Unique sites:
V 0.0000 0.0000 0.0000
V 0.0000 0.5000 0.1220
Os 0.0000 0.0000 0.2502
Ru 0.0000 0.0000 0.5000

=====

[3]
VASP calculation (PBE) on an optimized crystal structure of V2OsRu8.

Values from the calculation:
crystal system: monoclinic
final energy: -9.426 eV per atom
formation energy from the elements: 0.00 eV per atom

a = 13.7244 Å, b = 3.8196 Å, c = 6.0668 Å
α = 90.00°, β = 105.44°, γ = 90.00°
Space group C2/m (No. 12)
Unique sites:
V 0.2257 0.0000 0.1475
Os 0.0000 0.5000 0.5000
Ru 0.0445 0.0000 0.2255
Ru 0.0934 0.5000 0.9522
Ru 0.1374 0.0000 0.6813
Ru 0.1819 0.5000 0.4039

=====

[4]
VASP calculation (PBE) on an optimized crystal structure of VOsRu.

Values from the calculation:
E above lowest polymorph: 177 kJ/mol of formula units
crystal system: cubic
final energy: -9.387 eV per atom
formation energy from the elements: 0.49 eV per atom

a = 5.8545 Å, b = 5.8545 Å, c = 5.8545 Å
α = 90.00°, β = 90.00°, γ = 90.00°
Space group F-43m (No. 216)
Unique sites:
V 0.0000 0.0000 0.0000
Os 0.2500 0.2500 0.2500
Ru 0.0000 0.0000 0.5000

=====

[5]
VASP calculation (PBE) on an optimized crystal structure of VOsRu.

Values from the calculation:
E above lowest polymorph: 42 kJ/mol of formula units
crystal system: tetragonal
final energy: -9.854 eV per atom
formation energy from the elements: 0.02 eV per atom

a = 2.9762 Å, b = 2.9762 Å, c = 9.5371 Å
α = 90.00°, β = 90.00°, γ = 90.00°
Space group I4mm (No. 107)
Unique sites:
V 0.0000 0.0000 0.0000
Os 0.0000 0.0000 0.3493
Ru 0.0000 0.0000 0.6519

=====

[6]
VASP calculation (PBE) on an optimized crystal structure of V4OsRu2.

Values from the calculation:
crystal system: tetragonal
final energy: -8.502 eV per atom
formation energy from the elements: 0.96 eV per atom

a = 4.5397 Å, b = 4.5397 Å, c = 12.2180 Å
α = 90.00°, β = 90.00°, γ = 90.00°
Space group I4/mmm (No. 139)
Unique sites:
V 0.0000 0.0000 0.1999
V 0.0000 0.5000 0.0000
Os 0.0000 0.0000 0.0000
Ru 0.0000 0.0000 0.3842

=====

[7]
VASP calculation (PBE) on an optimized crystal structure of V3OsRu.

Values from the calculation:
E above lowest polymorph: 0 kJ/mol of formula units
crystal system: monoclinic
final energy: -9.849 eV per atom
formation energy from the elements: -0.28 eV per atom

a = 4.2299 Å, b = 4.2932 Å, c = 7.8164 Å
α = 90.00°, β = 105.63°, γ = 90.00°
Space group P2_1/m (No. 11)
Unique sites:
V 0.0475 0.2500 0.0955
V 0.1511 0.7500 0.3023
V 0.3544 0.7500 0.7097
Os 0.4439 0.2500 0.8872
Ru 0.2468 0.2500 0.4932

=====

[8]
VASP calculation (PBE) on an optimized crystal structure of V2OsRu5.

Values from the calculation:
crystal system: monoclinic
final energy: -9.636 eV per atom
formation energy from the elements: -0.16 eV per atom

a = 8.6549 Å, b = 5.4561 Å, c = 6.3648 Å
α = 90.00°, β = 132.56°, γ = 90.00°
Space group Cm (No. 8)
Unique sites:
V 0.0000 0.0000 0.0000
V 0.0603 0.5000 0.6446
Os 0.4872 0.0000 0.9891
Ru 0.0741 0.0000 0.6583
Ru 0.2431 0.2520 0.5014
Ru 0.3192 0.2517 0.1481

=====

[9]
VASP calculation (PBE) on an optimized crystal structure of V3OsRu.

Values from the calculation:
E above lowest polymorph: 8 kJ/mol of formula units
crystal system: triclinic
final energy: -9.832 eV per atom
formation energy from the elements: -0.26 eV per atom

a = 4.9965 Å, b = 5.0053 Å, c = 5.9734 Å
α = 72.68°, β = 72.64°, γ = 83.81°
Space group P-1 (No. 2)
Unique sites:
V 0.0013 0.4993 0.2502
V 0.1927 0.8888 0.3546
V 0.1965 0.8908 0.8531
Os 0.3904 0.2861 0.4563
Ru 0.3889 0.2831 0.9561

=====

[10]
VASP calculation (PBE) on an optimized crystal structure of V2OsRu.

Values from the calculation:
crystal system: tetragonal
final energy: -9.925 eV per atom
formation energy from the elements: -0.24 eV per atom

a = 4.2811 Å, b = 4.2811 Å, c = 3.0016 Å
α = 90.00°, β = 90.00°, γ = 90.00°
Space group P4/mmm (No. 123)
Unique sites:
V 0.0000 0.5000 0.0000
Os 0.0000 0.0000 0.5000
Ru 0.5000 0.5000 0.5000

=====

[11]
VASP calculation (PBE) on an optimized crystal structure of V2Os2Ru5.

Values from the calculation:
crystal system: monoclinic
final energy: -9.529 eV per atom
formation energy from the elements: 0.15 eV per atom

a = 8.7427 Å, b = 4.3307 Å, c = 7.0650 Å
α = 90.00°, β = 105.14°, γ = 90.00°
Space group C2/m (No. 12)
Unique sites:
V 0.1796 0.0000 0.4796
Os 0.2230 0.5000 0.8753
Ru 0.0000 0.5000 0.5000
Ru 0.0625 0.0000 0.7766
Ru 0.1226 0.5000 0.1993

=====

[12]
VASP calculation (PBE) on an optimized crystal structure of V4Os2Ru.

Values from the calculation:
crystal system: tetragonal
final energy: -8.749 eV per atom
formation energy from the elements: 1.00 eV per atom

a = 4.4346 Å, b = 4.4346 Å, c = 12.3810 Å
α = 90.00°, β = 90.00°, γ = 90.00°
Space group I4/mmm (No. 139)
Unique sites:
V 0.0000 0.0000 0.1972
V 0.0000 0.5000 0.0000
Os 0.0000 0.0000 0.3837
Ru 0.0000 0.0000 0.0000

=====

[13]
VASP calculation (PBE) on an optimized crystal structure of V4Os3Ru2.

Values from the calculation:
crystal system: trigonal
final energy: -10.047 eV per atom
formation energy from the elements: -0.19 eV per atom

a = 4.2679 Å, b = 4.2679 Å, c = 7.9383 Å
α = 90.00°, β = 90.00°, γ = 120.00°
Space group P-3m1 (No. 164)
Unique sites:
V 0.0000 0.0000 0.1538
V 0.3333 0.6667 0.3871
Os 0.0000 0.0000 0.5000
Os 0.3333 0.6667 0.0824
Ru 0.3333 0.6667 0.7099

=====

[14]
VASP calculation (PBE) on an optimized crystal structure of V4OsRu.

Values from the calculation:
E above lowest polymorph: 184 kJ/mol of formula units
crystal system: cubic
final energy: -9.512 eV per atom
formation energy from the elements: -0.02 eV per atom

a = 6.8611 Å, b = 6.8611 Å, c = 6.8611 Å
α = 90.00°, β = 90.00°, γ = 90.00°
Space group F-43m (No. 216)
Unique sites:
V 0.1253 0.1253 0.1253
Os 0.0000 0.0000 0.5000
Ru 0.2500 0.2500 0.7500

=====

[15]
VASP calculation (PBE) on an optimized crystal structure of V2OsRu4.

Values from the calculation:
crystal system: triclinic
final energy: -9.608 eV per atom
formation energy from the elements: -0.10 eV per atom

a = 5.3280 Å, b = 6.4266 Å, c = 6.7082 Å
α = 114.26°, β = 100.39°, γ = 102.17°
Space group P1 (No. 1)
Unique sites:
V 0.0000 0.0000 0.0000
V 0.1765 0.5558 0.8399
V 0.4269 0.1218 0.6937
V 0.6672 0.2645 0.3904
Os 0.1882 0.2895 0.4346
Os 0.7520 0.8571 0.2856
Ru 0.0417 0.7216 0.5768
Ru 0.2358 0.8200 0.2502
Ru 0.3828 0.3950 0.1019
Ru 0.4908 0.9578 0.9715
Ru 0.5403 0.7269 0.5457
Ru 0.6880 0.5513 0.8334
Ru 0.8781 0.3856 0.1350
Ru 0.9311 0.1454 0.7116

=====

[16]
VASP calculation (PBE) on an optimized crystal structure of V7Os2Ru3.

Values from the calculation:
crystal system: orthorhombic
final energy: -9.495 eV per atom
formation energy from the elements: 0.01 eV per atom

a = 4.2286 Å, b = 20.3465 Å, c = 4.1598 Å
α = 90.00°, β = 90.00°, γ = 90.00°
Space group Cmmm (No. 65)
Unique sites:
V 0.0000 0.0000 0.0000
V 0.0000 0.0780 0.5000
V 0.0000 0.2855 0.0000
V 0.0000 0.4292 0.0000
Os 0.0000 0.1501 0.0000
Ru 0.0000 0.3504 0.5000
Ru 0.0000 0.5000 0.5000

=====

[17]
VASP calculation (PBE) on an optimized crystal structure of VOsRu3.

Values from the calculation:
E above lowest polymorph: 0 kJ/mol of formula units
crystal system: monoclinic
final energy: -9.699 eV per atom
formation energy from the elements: -0.06 eV per atom

a = 4.6890 Å, b = 4.3429 Å, c = 7.1905 Å
α = 90.00°, β = 108.00°, γ = 90.00°
Space group P2_1/m (No. 11)
Unique sites:
V 0.0097 0.2500 0.3867
Os 0.4215 0.2500 0.2004
Ru 0.1675 0.7500 0.0039
Ru 0.2333 0.2500 0.7920
Ru 0.3604 0.7500 0.4062

=====

[18]
VASP calculation (PBE) on an optimized crystal structure of V6OsRu.

Values from the calculation:
E above lowest polymorph: 14 kJ/mol of formula units
crystal system: cubic
final energy: -9.705 eV per atom
formation energy from the elements: -0.30 eV per atom

a = 4.7811 Å, b = 4.7811 Å, c = 4.7811 Å
α = 90.00°, β = 90.00°, γ = 90.00°
Space group Pm-3 (No. 200)
Unique sites:
V 0.0000 0.2501 0.5000
Os 0.5000 0.5000 0.5000
Ru 0.0000 0.0000 0.0000

=====

[19]
VASP calculation (PBE) on an optimized crystal structure of V2OsRu.

Values from the calculation:
crystal system: cubic
final energy: -9.907 eV per atom
formation energy from the elements: -0.22 eV per atom

a = 6.0299 Å, b = 6.0299 Å, c = 6.0299 Å
α = 90.00°, β = 90.00°, γ = 90.00°
Space group Fm-3m (No. 225)
Unique sites:
V 0.2500 0.2500 0.2500
Os 0.0000 0.0000 0.0000
Ru 0.0000 0.0000 0.5000

=====

[20]
VASP calculation (PBE) on an optimized crystal structure of V2Os3Ru4.

Values from the calculation:
crystal system: monoclinic
final energy: -9.835 eV per atom
formation energy from the elements: 0.06 eV per atom

a = 10.5424 Å, b = 10.1767 Å, c = 4.8017 Å
α = 90.00°, β = 92.97°, γ = 90.00°
Space group C2/c (No. 15)
Unique sites:
V 0.2131 0.0774 0.0498
Os 0.0000 0.0462 0.2500
Os 0.1027 0.4326 0.5908
Ru 0.0910 0.2886 0.0774
Ru 0.1548 0.1753 0.5890